The following is a PBE+U calculation of a geometry-optimized Ba3Hf2MnO9 structure, from Alexandria.

Cell: 5.8218 5.8218 7.1357 Å, 90.00 90.00 120.00°
Fractional positions:
Ba  0.0000  0.0000  0.0000
Ba  0.3333  0.6667  0.6626
Ba  0.6667  0.3333  0.3374
Hf  0.3333  0.6667  0.1732
Hf  0.6667  0.3333  0.8268
Mn  0.0000  0.0000  0.5000
O  0.0000  0.5000  0.0000
O  0.1611  0.3222  0.3402
O  0.1611  0.8389  0.3402
O  0.3222  0.1611  0.6598
O  0.5000  0.0000  0.0000
O  0.5000  0.5000  0.0000
O  0.6778  0.8389  0.3402
O  0.8389  0.1611  0.6598
O  0.8389  0.6778  0.6598

Properties
Space group: P-3m1
Total energy: -121.30 eV for the cell shown